(1)
## ScTi2HAu (PBE)

Data for ScTi2HAu after structural relaxation.

Properties
VASP energy, eV per atom: -6.10

Lattice parameters (Å, degrees): 4.085 4.085 4.408 90.00 90.00 90.00
Space group P4/mmm (No. 123)
Unique sites:
1 Sc 0.000 0.000 0.000 [1 per cell]
2 Ti 0.000 0.500 0.500 [2 per cell]
3 H 0.000 0.000 0.500 [1 per cell]
4 Au 0.500 0.500 0.000 [1 per cell]

(2)
## Ti3CCl (PBE)

Data for Ti3CCl after structural relaxation.

Properties
VASP energy, eV per atom: -6.94
E above lowest polymorph, eV per formula unit: 0.000

Lattice parameters (Å, degrees): 4.267 4.267 4.267 90.00 90.00 90.00
Space group Pm-3m (No. 221)
Unique sites:
1 Ti 0.000 0.000 0.500 [3 per cell]
2 C 0.000 0.000 0.000 [1 per cell]
3 Cl 0.500 0.500 0.500 [1 per cell]

(3)
## NbVCrMo (PBE)

Data for NbVCrMo after structural relaxation.

Properties
VASP energy, eV per atom: -9.93
Energy relative to the elements, meV/atom: -21

Lattice parameters (Å, degrees): 6.190 6.190 6.190 90.00 90.00 90.00
Space group F-43m (No. 216)
Unique sites:
1 Nb 0.000 0.000 0.000 [4 per cell]
2 V 0.000 0.000 0.500 [4 per cell]
3 Cr 0.250 0.250 0.750 [4 per cell]
4 Mo 0.250 0.250 0.250 [4 per cell]

(4)
## Li6HgPb12 (PBE)

Data for Li6HgPb12 after structural relaxation.

Properties
VASP energy, eV per atom: -2.98
Energy relative to the elements, meV/atom: -17

Lattice parameters (Å, degrees): 12.7898 12.7898 11.6025 90.00 90.00 120.00
Space group R-3 (No. 148, hexagonal axes)
Unique sites:
1 Li 0.0360 0.1688 0.1944 [18 per cell]
2 Hg 0.0000 0.0000 0.5000 [3 per cell]
3 Pb 0.0624 0.2690 0.4381 [18 per cell]
4 Pb 0.0703 0.4781 0.6070 [18 per cell]